DFT (PBE) results for a relaxed structure of MgCrRu2.

POSCAR file:
```
MgCrRu2
1.0
4.7878 -1.4707 0.0000
4.7878 1.4707 0.0000
-2.1306 0.0000 4.0698
Mg Cr Ru
1 1 2
Direct
0.0000 0.0000 0.0000
0.5000 0.5000 0.5000
0.2267 0.2267 0.7260
0.7733 0.7733 0.2740
```

The density of states at the Fermi level is 3.6 states/eV/cell. Its total energy is -7.286 eV per atom.